# 1
IrRu3, PBEsol geometry, DFT SCAN; total magnetization = 0.0 μB/f.u.; density of states at the Fermi level = 0.859 states/eV per atom; ΔH_f (0 K) = 0.022 eV/atom
1.0
2.671 0.000 0.000
0.000 4.631 -0.001
-1.336 -0.772 4.366
Ru Ir
3 1
direct
0.500 0.500 0.000
0.249 0.747 0.499
0.751 0.253 0.501
0.000 0.000 0.000

# 2
CdInAg2, PBEsol geometry, DFT SCAN; total magnetization = 0.0 μB/f.u.; density of states at the Fermi level = 0.283 states/eV per atom; ΔH_f (0 K) = -0.025 eV/atom
1.0
3.099 0.000 0.005
0.000 4.732 0.000
-0.010 0.000 5.075
Ag Cd In
2 1 1
direct
0.875 0.000 0.047
0.875 0.500 0.701
0.375 0.000 0.560
0.375 0.500 0.191

# 3
Ba6Si6CN14, PBEsol geometry, DFT SCAN; total magnetization = 0.0 μB/f.u.; final energy = -17.4536 eV/atom; density of states at the Fermi level = 0.227 states/eV per atom
1.0
5.524 0.000 0.000
0.000 16.343 0.000
0.000 -8.171 14.153
N Si Ba C
42 18 18 3
direct
0.751 0.849 0.697
0.249 0.848 0.151
0.500 0.427 0.315
0.751 0.636 0.819
0.500 0.759 0.981
0.500 0.019 0.777
0.000 0.761 0.780
0.749 0.516 0.485
0.225 0.667 0.333
0.000 0.556 0.648
0.000 0.092 0.444
0.749 0.969 0.484
0.000 0.019 0.239
0.500 0.094 0.647
0.251 0.969 0.484
0.251 0.516 0.485
0.225 0.000 0.000
0.249 0.303 0.152
0.249 0.636 0.819
0.775 0.667 0.333
0.751 0.848 0.151
0.249 0.181 0.817
0.775 0.000 0.000
0.500 0.888 0.573
0.751 0.183 0.364
0.725 0.333 0.667
0.249 0.849 0.697
0.251 0.515 0.031
0.749 0.515 0.031
0.000 0.352 0.908
0.249 0.183 0.364
0.751 0.181 0.817
0.000 0.220 0.981
0.500 0.353 0.447
0.000 0.887 0.314
0.000 0.686 0.573
0.275 0.333 0.667
0.500 0.685 0.112
0.751 0.303 0.152
0.500 0.553 0.906
0.000 0.427 0.113
0.500 0.223 0.241
0.000 0.905 0.218
0.500 0.314 0.218
0.500 0.646 0.884
0.500 0.903 0.686
0.000 0.313 0.095
0.500 0.981 0.551
0.000 0.571 0.551
0.500 0.449 0.430
0.500 0.238 0.354
0.000 0.980 0.429
0.000 0.115 0.352
0.000 0.449 0.020
0.000 0.237 0.885
0.500 0.116 0.762
0.500 0.782 0.097
0.000 0.782 0.687
0.000 0.648 0.763
0.500 0.570 0.019
0.000 0.684 0.157
0.000 0.843 0.527
0.500 0.161 0.989
0.500 0.011 0.172
0.500 0.512 0.649
0.500 0.351 0.862
0.500 0.494 0.174
0.500 0.680 0.506
0.000 0.163 0.654
0.500 0.828 0.839
0.000 0.019 0.825
0.000 0.175 0.194
0.000 0.806 0.981
0.000 0.491 0.837
0.000 0.473 0.316
0.000 0.346 0.509
0.500 0.138 0.488
0.500 0.826 0.320
0.000 0.000 0.000
0.500 0.333 0.667
0.000 0.667 0.333

Q: Which value of density of states at the Fermi level does entry 2 give?
A: 0.283 states/eV per atom

Q: Which value of total magnetization does entry 1 give?
A: 0.0 μB/f.u.

Q: Which formula does entry 1 have?
A: IrRu3